DFT (PBE) results for an optimized crystal structure of TmH3.

Calculated values
**N(E_F)**: 0.19 states/eV/f.u.
**M_tot**: 0.0 μB per formula unit
**Uncorrected energy**: -4.25 eV/atom
**Crystal system**: hexagonal
**Space-group type**: P6_3/mmc (194)

Unit cell a=3.575 b=3.575 c=6.412 alpha=90.00 beta=90.00 gamma=120.00
Fractional coordinates of all 8 atoms:
Tm  0.333  0.667  0.250
Tm  0.667  0.333  0.750
H  0.000  0.000  0.250
H  0.000  0.000  0.750
H  0.333  0.667  0.593
H  0.333  0.667  0.907
H  0.667  0.333  0.093
H  0.667  0.333  0.407